# 1
Crystalline NiBrCl2 at its relaxed geometry, computed with PBE-GGA.

POSCAR file:
```
NiBrCl2
1.0
3.0251 0.0000 0.0000
0.0000 3.0251 0.0000
0.0000 0.0000 10.6089
Ni Br Cl
1 1 2
Direct
0.0000 0.0000 0.0000 Ni
0.0000 0.0000 0.5000 Br
0.5000 0.5000 0.1392 Cl
0.5000 0.5000 0.8608 Cl
```

## Properties
Uncorrected formation energy in meV/atom: 76
E above lowest polymorph in meV/atom: 464

***

# 2
Crystalline Ti7Bi3H2 at its relaxed geometry, computed with PBE-GGA.

POSCAR file:
```
Ti7Bi3H2
1.0
2.0797 -11.2991 0.0000
2.0797 11.2991 0.0000
0.0000 0.0000 4.1417
Ti Bi H
7 3 2
Direct
0.0000 0.0000 0.0000 Ti
0.0954 0.9046 0.5000 Ti
0.2010 0.7990 0.0000 Ti
0.4058 0.5942 0.0000 Ti
0.5942 0.4058 0.0000 Ti
0.7990 0.2010 0.0000 Ti
0.9046 0.0954 0.5000 Ti
0.3126 0.6874 0.5000 Bi
0.5000 0.5000 0.5000 Bi
0.6874 0.3126 0.5000 Bi
0.0907 0.9093 0.0000 H
0.9093 0.0907 0.0000 H
```

***

# 3
Crystalline AsOsBr2 at its relaxed geometry, computed with PBE-GGA.

POSCAR file:
```
AsOsBr2
1.0
0.0000 3.3732 3.3732
3.3732 0.0000 3.3732
3.3732 3.3732 0.0000
As Os Br
1 1 2
Direct
0.0000 0.0000 0.0000 As
0.5000 0.5000 0.5000 Os
0.2500 0.2500 0.2500 Br
0.7500 0.7500 0.7500 Br
```

## Properties
Uncorrected formation energy in meV/atom: 1380
E above lowest polymorph in meV/atom: 1290

***

# 4
Crystalline Sc2InNiAs at its relaxed geometry, computed with PBE-GGA.

POSCAR file:
```
Sc2InNiAs
1.0
4.9830 0.0000 0.0000
0.0000 4.9830 0.0000
0.0000 0.0000 5.0956
Sc In Ni As
2 1 1 1
Direct
0.0000 0.5000 0.0000 Sc
0.5000 0.0000 0.0000 Sc
0.0000 0.0000 0.5000 In
0.5000 0.5000 0.5000 Ni
0.0000 0.0000 0.0000 As
```

## Properties
Energy relative to the elements in eV/atom: 0.29

***

no.,VASP energy (eV for the cell shown)
1,-10.84
2,-76.28
3,-13.70
4,-24.41